Record 1
This record from Alexandria describes a relaxed structure of RbMgSn3. The functional is PBE.

The structure in POSCAR format:
```
RbMgSn3
1.0
-0.355 7.014 -2.246
2.689 -2.822 -9.240
-10.083 0.079 1.843
Rb Sn Mg
4 12 4
direct
0.041 0.366 0.784 Rb
0.459 0.366 0.284 Rb
0.959 0.634 0.216 Rb
0.541 0.634 0.716 Rb
0.749 0.913 0.599 Sn
0.751 0.913 0.099 Sn
0.042 0.657 0.580 Sn
0.561 0.208 0.604 Sn
0.061 0.792 0.896 Sn
0.958 0.343 0.420 Sn
0.439 0.792 0.396 Sn
0.251 0.087 0.401 Sn
0.939 0.208 0.104 Sn
0.249 0.087 0.901 Sn
0.542 0.343 0.920 Sn
0.458 0.657 0.080 Sn
0.148 0.954 0.599 Mg
0.648 0.046 0.901 Mg
0.352 0.954 0.099 Mg
0.852 0.046 0.401 Mg
```

Results
- energy above the most stable polymorph in this dataset (meV per atom) = 0
- space group = P2_1/c
- DFT total energy (eV per cell) = -60.16
- magnetization (μB/f.u.) = 0.00
- D(E_F) (states/eV per cell) = 8.43
- calculated volume (Å³/atom) = 34.2

=====

Record 2
This record from Alexandria describes a relaxed structure of Rb3Mg2Sn4. The functional is PBE.

The structure in POSCAR format:
```
Rb3Mg2Sn4
1.0
4.928 0.000 0.000
-2.464 6.967 0.291
0.000 -2.636 10.403
Rb Sn Mg
3 4 2
direct
0.617 0.235 0.400 Rb
0.383 0.765 0.600 Rb
0.000 0.000 0.000 Rb
0.886 0.772 0.322 Sn
0.280 0.560 0.910 Sn
0.720 0.440 0.090 Sn
0.114 0.228 0.678 Sn
0.657 0.313 0.807 Mg
0.343 0.687 0.193 Mg
```

Results
- space group = C2/m
- DFT total energy (eV per cell) = -23.37
- magnetization (μB/f.u.) = 0.00
- D(E_F) (states/eV per cell) = 7.29
- calculated volume (Å³/atom) = 40.1

=====

Record 3
This record from Alexandria describes a relaxed structure of RbMgSn2. The functional is PBE.

The structure in POSCAR format:
```
RbMgSn2
1.0
-5.061 2.704 0.926
-2.846 -4.600 -2.127
-4.390 -4.878 8.483
Sn Rb Mg
4 2 2
direct
0.875 0.677 0.750 Sn
0.323 0.625 0.250 Sn
0.427 0.125 0.250 Sn
0.375 0.573 0.750 Sn
0.750 0.250 0.500 Rb
0.000 0.000 0.000 Rb
0.250 0.750 0.500 Mg
0.500 0.500 0.000 Mg
```

Results
- space group = I-42d
- DFT total energy (eV per cell) = -20.82
- magnetization (μB/f.u.) = 0.00
- D(E_F) (states/eV per cell) = 3.51
- calculated volume (Å³/atom) = 41.8

=====

Record 4
This record from Alexandria describes a relaxed structure of RbMgSn2. The functional is PBE.

The structure in POSCAR format:
```
RbMgSn2
1.0
-3.698 -2.325 0.978
-0.840 -0.851 5.043
-4.935 4.976 3.408
Rb Mg Sn
1 1 2
direct
0.500 0.000 0.000 Rb
0.000 0.500 0.500 Mg
0.731 0.169 0.369 Sn
0.269 0.831 0.631 Sn
```

Results
- space group = C2/m
- DFT total energy (eV per cell) = -11.08
- magnetization (μB/f.u.) = 0.00
- D(E_F) (states/eV per cell) = 2.32
- calculated volume (Å³/atom) = 36.6

=====

Record 5
This record from Alexandria describes a relaxed structure of RbMg2Sn2. The functional is PBE.

The structure in POSCAR format:
```
RbMg2Sn2
1.0
4.997 0.000 0.000
0.000 4.997 0.000
2.498 2.498 6.196
Mg Sn Rb
2 2 1
direct
0.250 0.750 0.500 Mg
0.750 0.250 0.500 Mg
0.382 0.382 0.236 Sn
0.618 0.618 0.764 Sn
0.000 0.000 0.000 Rb
```

Results
- energy above the most stable polymorph in this dataset (meV per atom) = 0
- space group = I4/mmm
- DFT total energy (eV per cell) = -13.24
- magnetization (μB/f.u.) = 0.00
- D(E_F) (states/eV per cell) = 2.14
- calculated volume (Å³/atom) = 30.9

=====

Record 6
This record from Alexandria describes a relaxed structure of RbMgSn2. The functional is PBE.

The structure in POSCAR format:
```
RbMgSn2
1.0
4.884 0.000 0.000
2.442 4.229 0.000
2.442 1.410 7.303
Rb Sn Mg
1 2 1
direct
0.494 0.494 0.519 Rb
0.291 0.291 0.127 Sn
0.039 0.039 0.882 Sn
0.676 0.676 0.972 Mg
```

Results
- space group = R3m
- DFT total energy (eV per cell) = -10.86
- magnetization (μB/f.u.) = 0.00
- D(E_F) (states/eV per cell) = 2.48
- calculated volume (Å³/atom) = 37.7